1.
A plane-wave DFT calculation with PBE-GGA was carried out for a relaxed Ag12SbS6 crystal.

Calculated values
M_tot, μB per formula unit: 0.000
E, eV/cell: -61.44
Formation energy (no corrections), eV per atom: 0.09
Density of states at the Fermi level, states/eV/cell: 6.25
Crystal system: trigonal
V, A^3/atom: 21.97

Cell: 8.5913 8.5913 8.5913 Å, 57.00 57.00 57.00°
Last column: nearest neighbours and their distance in Å.
Atoms (fractional coordinates):
Ag 0.0522 0.6511 0.7932  2 S 2.58-2.66
Ag 0.1519 0.5796 0.4294  2 S 2.48
Ag 0.2068 0.9478 0.3489  2 S 2.58-2.66
Ag 0.3489 0.2068 0.9478  2 S 2.58-2.66
Ag 0.4204 0.5706 0.8481  2 S 2.48
Ag 0.4294 0.1519 0.5796  2 S 2.48
Ag 0.5706 0.8481 0.4204  2 S 2.48
Ag 0.5796 0.4294 0.1519  2 S 2.48
Ag 0.6511 0.7932 0.0522  2 S 2.58-2.66
Ag 0.7932 0.0522 0.6511  2 S 2.58-2.66
Ag 0.8481 0.4204 0.5706  2 S 2.48
Ag 0.9478 0.3489 0.2068  2 S 2.58-2.66
Sb 0.0000 0.0000 0.0000  6 S 2.78
S 0.1006 0.3380 0.7735  4 Ag 2.48-2.66
S 0.2265 0.8994 0.6620  4 Ag 2.48-2.66
S 0.3380 0.7735 0.1006  4 Ag 2.48-2.66
S 0.6620 0.2265 0.8994  4 Ag 2.48-2.66
S 0.7735 0.1006 0.3380  4 Ag 2.48-2.66
S 0.8994 0.6620 0.2265  4 Ag 2.48-2.66



2.
A plane-wave DFT calculation with PBE-GGA was carried out for a relaxed Nd4Pt2Au5 crystal.

Calculated values
M_tot, μB per formula unit: 0.000
E, eV/cell: -56.91
Density of states at the Fermi level, states/eV/cell: 7.30
Crystal system: monoclinic
ΔH_f (0 K), eV/atom: -0.852
V, A^3/atom: 23.89

Cell: 7.5404 3.8386 9.1007 Å, 90.00 93.88 90.00°
Last column: nearest neighbours and their distance in Å.
Atoms (fractional coordinates):
Nd 0.2031 0.0000 0.3647  2 Pt 2.91, 4 Au 3.14-3.15
Nd 0.2438 0.0000 0.9203  4 Pt 3.09-3.12, 6 Au 3.14-3.28
Nd 0.7562 0.0000 0.0797  4 Pt 3.09-3.12, 6 Au 3.14-3.28
Nd 0.7969 0.0000 0.6353  2 Pt 2.91, 4 Au 3.14-3.15
Pt 0.0732 0.5000 0.1420  1 Pt 2.74, 2 Au 2.79-2.84, 2 Nd 2.91
Pt 0.9268 0.5000 0.8580  1 Pt 2.74, 2 Au 2.79-2.84, 2 Nd 2.91
Au 0.1640 0.5000 0.6351  1 Pt 2.79, 1 Au 2.89
Au 0.4512 0.5000 0.1688  1 Pt 2.84, 1 Au 3.01, 2 Nd 3.14
Au 0.5000 0.5000 0.5000  4 Au 2.89-3.01, 4 Nd 3.14
Au 0.5488 0.5000 0.8312  1 Pt 2.84, 1 Au 3.01, 2 Nd 3.14
Au 0.8360 0.5000 0.3649  1 Pt 2.79, 1 Au 2.89



3.
A plane-wave DFT calculation with PBE-GGA was carried out for a relaxed TaCu3Te4 crystal.

Calculated values
M_tot, μB per formula unit: 0.000
E, eV/cell: -74.24
Formation energy (no corrections), eV per atom: -0.05
Crystal system: orthorhombic
V, A^3/atom: 27.72

Cell: 8.5051 7.3627 7.0819 Å, 90.00 90.00 90.00°
Last column: nearest neighbours and their distance in Å.
Atoms (fractional coordinates):
Ta 0.0000 0.1690 0.0000  4 Te 2.65-2.66
Ta 0.5000 0.8310 0.5000  4 Te 2.65-2.66
Cu 0.0000 0.8394 0.4928  4 Te 2.60-2.62
Cu 0.2494 0.6685 0.9912  4 Te 2.60-2.62
Cu 0.2506 0.3315 0.4912  4 Te 2.60-2.62
Cu 0.5000 0.1606 0.9928  4 Te 2.60-2.62
Cu 0.7494 0.3315 0.4912  4 Te 2.60-2.62
Cu 0.7506 0.6685 0.9912  4 Te 2.60-2.62
Te 0.0000 0.1707 0.6265  3 Cu 2.62, 1 Ta 2.65
Te 0.0000 0.8307 0.1258  3 Cu 2.60-2.61, 1 Ta 2.65
Te 0.2438 0.6623 0.6241  3 Cu 2.60-2.62, 1 Ta 2.66
Te 0.2562 0.3377 0.1241  3 Cu 2.60-2.62, 1 Ta 2.66
Te 0.5000 0.1693 0.6258  3 Cu 2.60-2.61, 1 Ta 2.65
Te 0.5000 0.8293 0.1265  3 Cu 2.62, 1 Ta 2.65
Te 0.7438 0.3377 0.1241  3 Cu 2.60-2.62, 1 Ta 2.66
Te 0.7562 0.6623 0.6241  3 Cu 2.60-2.62, 1 Ta 2.66



Copy entry 2 word for word.
A plane-wave DFT calculation with PBE-GGA was carried out for a relaxed Nd4Pt2Au5 crystal.

Calculated values
M_tot, μB per formula unit: 0.000
E, eV/cell: -56.91
Density of states at the Fermi level, states/eV/cell: 7.30
Crystal system: monoclinic
ΔH_f (0 K), eV/atom: -0.852
V, A^3/atom: 23.89

Cell: 7.5404 3.8386 9.1007 Å, 90.00 93.88 90.00°
Last column: nearest neighbours and their distance in Å.
Atoms (fractional coordinates):
Nd 0.2031 0.0000 0.3647  2 Pt 2.91, 4 Au 3.14-3.15
Nd 0.2438 0.0000 0.9203  4 Pt 3.09-3.12, 6 Au 3.14-3.28
Nd 0.7562 0.0000 0.0797  4 Pt 3.09-3.12, 6 Au 3.14-3.28
Nd 0.7969 0.0000 0.6353  2 Pt 2.91, 4 Au 3.14-3.15
Pt 0.0732 0.5000 0.1420  1 Pt 2.74, 2 Au 2.79-2.84, 2 Nd 2.91
Pt 0.9268 0.5000 0.8580  1 Pt 2.74, 2 Au 2.79-2.84, 2 Nd 2.91
Au 0.1640 0.5000 0.6351  1 Pt 2.79, 1 Au 2.89
Au 0.4512 0.5000 0.1688  1 Pt 2.84, 1 Au 3.01, 2 Nd 3.14
Au 0.5000 0.5000 0.5000  4 Au 2.89-3.01, 4 Nd 3.14
Au 0.5488 0.5000 0.8312  1 Pt 2.84, 1 Au 3.01, 2 Nd 3.14
Au 0.8360 0.5000 0.3649  1 Pt 2.79, 1 Au 2.89



What is the V in the second record?
23.89 A^3/atom



Which of these has the highest V?
TaCu3Te4